Below is Rb2BeNbW at its PBEsol-relaxed geometry, with properties calculated at the meta-GGA SCAN level.

For the formation energy, the calculation gives 2372 meV/atom. The total moment is 8.72 μB/f.u. The value obtained for the final energy is -136.8 eV per cell. The crystal system is tetragonal.

It has space group P4/mmm (No. 123), with a = 6.571 Å, b = 6.571 Å, c = 4.444 Å, α = 90.00°, β = 90.00° and γ = 90.00°. The asymmetric unit holds Rb at (0.000, 0.500, 0.000), Be at (0.000, 0.000, 0.500), Nb at (0.500, 0.500, 0.500) and W at (0.000, 0.000, 0.000).

***

Below is Be3NbRe at its PBEsol-relaxed geometry, with properties calculated at the meta-GGA SCAN level.

For the formation energy, the calculation gives 761 meV/atom. The total moment is 0.00 μB/f.u. The value obtained for the final energy is -113.5 eV per cell. The crystal system is cubic.

It has space group Pm-3m (No. 221), with a = 4.084 Å, b = 4.084 Å, c = 4.084 Å, α = 90.00°, β = 90.00° and γ = 90.00°. The asymmetric unit holds Be at (0.000, 0.000, 0.500), Nb at (0.500, 0.500, 0.500) and Re at (0.000, 0.000, 0.000).

***

Below is Be2Nb2Rh at its PBEsol-relaxed geometry, with properties calculated at the meta-GGA SCAN level.

For the formation energy, the calculation gives -415 meV/atom. The total moment is 0.00 μB/f.u. The value obtained for the final energy is -221.6 eV per cell. The crystal system is tetragonal.

It has space group P4/mbm (No. 127), with a = 6.093 Å, b = 6.093 Å, c = 3.479 Å, α = 90.00°, β = 90.00° and γ = 90.00°. The asymmetric unit holds Be at (0.125, 0.375, 0.000), Nb at (0.173, 0.673, 0.500) and Rh at (0.000, 0.000, 0.000).

***

Below is Be2Nb2Ru at its PBEsol-relaxed geometry, with properties calculated at the meta-GGA SCAN level.

For the formation energy, the calculation gives -381 meV/atom. The total moment is 0.00 μB/f.u. The calculation puts the energy above the lowest structure with this stoichiometry at 0.0 meV per atom. The value obtained for the final energy is -223.4 eV per cell. The crystal system is tetragonal.

It has space group P4/mbm (No. 127), with a = 6.237 Å, b = 6.237 Å, c = 3.289 Å, α = 90.00°, β = 90.00° and γ = 90.00°. The asymmetric unit holds Be at (0.122, 0.378, 0.000), Nb at (0.175, 0.675, 0.500) and Ru at (0.000, 0.000, 0.000).

***

Below is BeNbRu3 at its PBEsol-relaxed geometry, with properties calculated at the meta-GGA SCAN level.

For the formation energy, the calculation gives -10 meV/atom. The total moment is 0.00 μB/f.u. The value obtained for the final energy is -142.0 eV per cell. The crystal system is cubic.

It has space group Pm-3m (No. 221), with a = 4.058 Å, b = 4.058 Å, c = 4.058 Å, α = 90.00°, β = 90.00° and γ = 90.00°. The asymmetric unit holds Be at (0.000, 0.000, 0.000), Nb at (0.500, 0.500, 0.500) and Ru at (0.000, 0.000, 0.500).

***

Below is Be2Nb2Ru at its PBEsol-relaxed geometry, with properties calculated at the meta-GGA SCAN level.

For the formation energy, the calculation gives 189 meV/atom. The total moment is 0.00 μB/f.u. The calculation puts the energy above the lowest structure with this stoichiometry at 569.9 meV per atom. The value obtained for the final energy is -217.7 eV per cell. The crystal system is tetragonal.

It has space group I4/mmm (No. 139), with a = 2.925 Å, b = 2.925 Å, c = 15.993 Å, α = 90.00°, β = 90.00° and γ = 90.00°. The asymmetric unit holds Be at (0.000, 0.500, 0.250), Nb at (0.000, 0.000, 0.109) and Ru at (0.000, 0.000, 0.500).

***

Below is BeNbS3 at its PBEsol-relaxed geometry, with properties calculated at the meta-GGA SCAN level.

The total moment is 1.33 μB/f.u. The formation energy (no corrections) is 97 meV/atom. The value obtained for the final energy is -65.9 eV per cell. The crystal system is cubic.

It has space group Pm-3m (No. 221), with a = 4.225 Å, b = 4.225 Å, c = 4.225 Å, α = 90.00°, β = 90.00° and γ = 90.00°. The asymmetric unit holds Be at (0.000, 0.000, 0.000), Nb at (0.500, 0.500, 0.500) and S at (0.000, 0.000, 0.500).

***

Below is BeNb2WS at its PBEsol-relaxed geometry, with properties calculated at the meta-GGA SCAN level.

The total moment is 0.00 μB/f.u. The formation energy (no corrections) is 690 meV/atom. The value obtained for the final energy is -146.5 eV per cell. The crystal system is tetragonal.

It has space group P4/mmm (No. 123), with a = 4.512 Å, b = 4.512 Å, c = 4.342 Å, α = 90.00°, β = 90.00° and γ = 90.00°. The asymmetric unit holds Be at (0.000, 0.000, 0.000), Nb at (0.000, 0.500, 0.500), W at (0.500, 0.500, 0.000) and S at (0.500, 0.500, 0.500).